[1]
Compound: K3PdCl6
Source: Alexandria
Functional: PBE-GGA
Structure: optimized geometry

Geometry as extended XYZ:
```
20
Lattice="7.259 0.000 0.000 0.000 7.905 0.000 -7.061 0.000 10.366" Properties=species:S:1:pos:R:3 pbc="T T T"
K 0.000 0.000 0.000
K -3.530 3.953 5.183
K -3.702 0.617 7.756
K -0.172 3.335 2.573
K 0.370 4.570 7.792
K 3.900 7.288 2.610
Pd 0.099 0.000 5.183
Pd 3.629 3.953 0.000
Cl -1.850 1.276 4.734
Cl -5.381 2.677 9.917
Cl -1.145 5.702 4.432
Cl -4.675 6.156 9.615
Cl 0.873 0.358 2.979
Cl -2.657 3.595 8.162
Cl 2.855 4.311 2.204
Cl -0.675 7.547 7.387
Cl 4.873 1.749 0.750
Cl 1.343 2.204 5.933
Cl 5.579 5.229 0.448
Cl 2.048 6.629 5.631
```

crystal system	monoclinic

[2]
Compound: K2PdCl
Source: Alexandria
Functional: PBE-GGA
Structure: optimized geometry

Geometry as extended XYZ:
```
4
Lattice="0.000 3.897 3.897 3.897 0.000 3.897 3.897 3.897 0.000" Properties=species:S:1:pos:R:3 pbc="T T T"
K 1.949 1.949 1.949
K 5.846 5.846 5.846
Pd 0.000 0.000 0.000
Cl 3.897 3.897 3.897
```

N(E_F)	2.6	states/eV/cell
relative energy among the computed polymorphs	16	meV per atom
crystal system	cubic

[3]
Compound: KPdCl5
Source: Alexandria
Functional: PBE-GGA
Structure: optimized geometry

Geometry as extended XYZ:
```
14
Lattice="5.907 -3.546 0.000 5.907 3.546 0.000 -4.041 0.000 9.195" Properties=species:S:1:pos:R:3 pbc="T T T"
K 2.877 3.516 6.896
K 4.897 -3.516 2.299
Pd 5.907 0.000 0.000
Pd 3.887 0.000 4.598
Cl 2.725 1.964 4.088
Cl 0.126 1.275 8.341
Cl 7.070 1.964 0.510
Cl 4.897 0.034 2.299
Cl 5.627 1.275 5.451
Cl 2.147 -1.275 3.744
Cl 2.877 -0.034 6.896
Cl 0.704 -1.964 8.685
Cl 7.648 -1.275 0.854
Cl 5.050 -1.964 5.107
```

N(E_F)	12.6	states/eV/cell
crystal system	monoclinic

[4]
Compound: KPd2Cl2
Source: Alexandria
Functional: PBE-GGA
Structure: optimized geometry

Geometry as extended XYZ:
```
5
Lattice="-2.504 2.504 4.579 2.504 -2.504 4.579 2.504 2.504 -4.579" Properties=species:S:1:pos:R:3 pbc="T T T"
K 0.000 0.000 0.000
Pd 0.000 0.000 3.021
Pd 0.000 0.000 6.137
Cl 2.504 0.000 2.290
Cl 0.000 2.504 2.290
```

N(E_F)	3.1	states/eV/cell
relative energy among the computed polymorphs	146	meV per atom
crystal system	tetragonal

Computed energy (eV per atom) in order:
-3.284; -2.822; -2.970; -3.400
Computed energy relative to the elements, uncorrected (meV per atom) in order:
-1328; -513; -752; -365